Below is crystalline La3Pr3Ag2 at its relaxed geometry, with properties calculated at the PBE-GGA level.

Computed properties:
The calculation puts the volume at 518.8 Å³ per cell. The calculated total energy comes out at -4.42 eV per atom. As for the formation enthalpy at 0 K: -0.07 eV per atom. As for the space-group type: Cmcm, No. 63.

a = 6.592 Å, b = 6.592 Å, c = 16.331 Å
α = 90.00°, β = 90.00°, γ = 133.04°
Sites, in units of the cell vectors:
La 0.044 0.956 0.611
La 0.044 0.956 0.889
La 0.311 0.689 0.750
La 0.689 0.311 0.250
La 0.956 0.044 0.111
La 0.956 0.044 0.389
Pr 0.358 0.642 0.529
Pr 0.358 0.642 0.971
Pr 0.417 0.583 0.250
Pr 0.583 0.417 0.750
Pr 0.642 0.358 0.029
Pr 0.642 0.358 0.471
Ag 0.223 0.777 0.127
Ag 0.223 0.777 0.373
Ag 0.777 0.223 0.627
Ag 0.777 0.223 0.873